Below is Li2CaRh at its PBEsol-relaxed geometry, with properties calculated at the SCAN level.

Unit cell a=4.1070 b=4.1070 c=8.1615 alpha=90.00 beta=90.00 gamma=90.00
Space group I4/mmm (No. 139)
Inequivalent atoms, fractional coordinates:
Li 0.0000 0.5000 0.2500 [4 per cell]
Ca 0.0000 0.0000 0.0000 [2 per cell]
Rh 0.0000 0.0000 0.5000 [2 per cell]

***

Below is Be3MoH at its PBEsol-relaxed geometry, with properties calculated at the SCAN level.

Unit cell a=3.4573 b=3.4573 c=3.4573 alpha=90.00 beta=90.00 gamma=90.00
Space group Pm-3m (No. 221)
Inequivalent atoms, fractional coordinates:
Be 0.0000 0.0000 0.5000 [3 per cell]
Mo 0.5000 0.5000 0.5000 [1 per cell]
H 0.0000 0.0000 0.0000 [1 per cell]

***

Below is TeAs2 at its PBEsol-relaxed geometry, with properties calculated at the SCAN level.

Formation energy without anion corrections in meV/atom: 342

Unit cell a=3.6175 b=3.6175 c=10.4609 alpha=90.00 beta=90.00 gamma=90.00
Space group I4/mmm (No. 139)
Inequivalent atoms, fractional coordinates:
Te 0.0000 0.0000 0.0000 [2 per cell]
As 0.0000 0.0000 0.2813 [4 per cell]

***

Below is Sc2HgMo at its PBEsol-relaxed geometry, with properties calculated at the SCAN level.

Unit cell a=10.2272 b=3.0233 c=5.1111 alpha=90.00 beta=101.21 gamma=90.00
Space group Cm (No. 8)
Inequivalent atoms, fractional coordinates:
Sc 0.0000 0.0000 0.0000 [2 per cell]
Sc 0.2170 0.0000 0.6515 [2 per cell]
Hg 0.2483 0.5000 0.1776 [2 per cell]
Mo 0.4744 0.0000 0.4955 [2 per cell]

***

Number 1: magnetization 0.000 μB per formula unit, volume 17.21 A^3/atom, total energy -12.1794 eV per atom. Number 2: magnetization 0.000 μB per formula unit, volume 8.26 A^3/atom, total energy -10.2104 eV per atom. Number 3: magnetization 0.000 μB per formula unit, volume 22.82 A^3/atom, total energy -25.5352 eV per atom. Number 4: magnetization 0.000 μB per formula unit, volume 19.38 A^3/atom, total energy -32.9113 eV per atom.